Record 1
DFT (GGA+U) results for a geometry-optimized Li2CrF4 structure.

Summary:
The value obtained for the total energy is -0.1991 hartree per atom. The energy above the lowest structure with this stoichiometry is 54 meV/atom.

a = 8.872 Å, b = 4.061 Å, c = 8.903 Å
α = 90.00°, β = 93.06°, γ = 90.00°
Space group Pm (No. 6)
Inequivalent atoms, fractional coordinates:
1 Li 0.000 0.000 0.000 (multiplicity 1)
2 Li 0.003 0.500 0.782 (multiplicity 1)
3 Li 0.060 0.500 0.243 (multiplicity 1)
4 Li 0.280 0.000 0.250 (multiplicity 1)
5 Li 0.476 0.000 0.490 (multiplicity 1)
6 Li 0.507 0.500 0.284 (multiplicity 1)
7 Li 0.745 0.500 0.984 (multiplicity 1)
8 Li 0.775 0.000 0.709 (multiplicity 1)
9 Cr 0.053 0.000 0.512 (multiplicity 1)
10 Cr 0.274 0.500 0.987 (multiplicity 1)
11 Cr 0.507 0.500 0.726 (multiplicity 1)
12 Cr 0.768 0.000 0.259 (multiplicity 1)
13 F 0.004 0.500 0.012 (multiplicity 1)
14 F 0.037 0.000 0.237 (multiplicity 1)
15 F 0.039 0.500 0.473 (multiplicity 1)
16 F 0.239 0.500 0.766 (multiplicity 1)
17 F 0.244 0.000 0.014 (multiplicity 1)
18 F 0.268 0.000 0.467 (multiplicity 1)
19 F 0.285 0.500 0.217 (multiplicity 1)
20 F 0.507 0.000 0.277 (multiplicity 1)
21 F 0.510 0.500 0.500 (multiplicity 1)
22 F 0.524 0.500 0.952 (multiplicity 1)
23 F 0.545 0.000 0.704 (multiplicity 1)
24 F 0.740 0.500 0.239 (multiplicity 1)
25 F 0.775 0.500 0.767 (multiplicity 1)
26 F 0.777 0.000 0.032 (multiplicity 1)
27 F 0.815 0.000 0.487 (multiplicity 1)
28 F 0.990 0.000 0.766 (multiplicity 1)

***

Record 2
DFT (GGA+U) results for a geometry-optimized Li2CrF structure.

Summary:
The value obtained for the total energy is -0.1586 hartree per atom. The energy above the lowest structure with this stoichiometry is 0 meV/atom.

a = 5.936 Å, b = 5.936 Å, c = 8.083 Å
α = 90.00°, β = 90.00°, γ = 90.00°
Space group I-42d (No. 122)
Inequivalent atoms, fractional coordinates:
1 Li 0.077 0.250 0.125 (multiplicity 8)
2 Cr 0.000 0.000 0.500 (multiplicity 4)
3 F 0.000 0.000 0.000 (multiplicity 4)

***

Record 3
DFT (GGA+U) results for a geometry-optimized Li5Cr3F12 structure.

Summary:
The value obtained for the total energy is -0.1973 hartree per atom.

a = 11.884 Å, b = 11.884 Å, c = 11.884 Å
α = 90.00°, β = 90.00°, γ = 90.00°
Space group Ia-3d (No. 230)
Inequivalent atoms, fractional coordinates:
1 Li 0.000 0.000 0.000 (multiplicity 16)
2 Li 0.000 0.250 0.375 (multiplicity 24)
3 Cr 0.000 0.250 0.125 (multiplicity 24)
4 F 0.028 0.074 0.650 (multiplicity 96)

***

Record 4
DFT (GGA+U) results for a geometry-optimized Li2MgCrF6 structure.

Summary:
The value obtained for the total energy is -0.1988 hartree per atom.

a = 5.105 Å, b = 5.237 Å, c = 5.470 Å
α = 64.06°, β = 89.83°, γ = 61.36°
Space group P1 (No. 1)
Inequivalent atoms, fractional coordinates:
1 Li 0.000 0.000 0.000 (multiplicity 1)
2 Li 0.492 0.986 0.509 (multiplicity 1)
3 Mg 0.279 0.429 0.880 (multiplicity 1)
4 Cr 0.776 0.430 0.373 (multiplicity 1)
5 F 0.043 0.570 0.144 (multiplicity 1)
6 F 0.207 0.887 0.699 (multiplicity 1)
7 F 0.348 0.980 0.159 (multiplicity 1)
8 F 0.548 0.256 0.650 (multiplicity 1)
9 F 0.678 0.250 0.148 (multiplicity 1)
10 F 0.887 0.553 0.650 (multiplicity 1)